No. 1
Compound: ScPbBr2
Source: the Alexandria database
Functional: PBE
Structure: optimized geometry

abc: 11.0754 11.0754 11.0754
angles: 18.61 18.61 18.61
Sites, in units of the cell vectors:
1 Sc 0.0000 0.0000 0.0000
2 Pb 0.5000 0.5000 0.5000
3 Br 0.2797 0.2797 0.2797
4 Br 0.7203 0.7203 0.7203

## Properties
Its formation energy from raw total energies is -0.98 eV/atom. The energy above the most stable polymorph in this dataset is 0 meV per atom.



No. 2
Compound: FeP3Pt
Source: the Alexandria database
Functional: PBE
Structure: optimized geometry

abc: 4.2846 4.2846 4.2846
angles: 90.00 90.00 90.00
Sites, in units of the cell vectors:
1 Fe 0.0000 0.0000 0.0000
2 P 0.0000 0.0000 0.5000
3 P 0.0000 0.5000 0.0000
4 P 0.5000 0.0000 0.0000
5 Pt 0.5000 0.5000 0.5000

## Properties
The energy above the most stable polymorph in this dataset is 0 meV per atom.



No. 3
Compound: LuGeTe2
Source: the Alexandria database
Functional: PBE
Structure: optimized geometry

abc: 7.3010 7.3010 7.3010
angles: 35.08 35.08 35.08
Sites, in units of the cell vectors:
1 Lu 0.0000 0.0000 0.0000
2 Ge 0.5000 0.5000 0.5000
3 Te 0.2484 0.2484 0.2484
4 Te 0.7516 0.7516 0.7516

## Properties
Its formation energy from raw total energies is -0.52 eV/atom.



no.,electronic total energy (eV/atom)
1,-4.329
2,-5.634
3,-4.374